1.
# Ce3Te3I, optimized geometry, DFT PBE
data_Ce3Te3I
_cell_length_a 9.5836
_cell_length_b 9.5836
_cell_length_c 8.3962
_cell_angle_alpha 55.20
_cell_angle_beta 55.20
_cell_angle_gamma 60.00
_space_group_name_H-M_alt 'P 1'
_space_group_IT_number 1
_space_group_name_Hall 'P 1'
loop_
_atom_site_label
_atom_site_type_symbol
_atom_site_fract_x
_atom_site_fract_y
_atom_site_fract_z
_atom_site_occupancy
Ce1 Ce 0.2882 0.5572 0.2299 1
Ce2 Ce 0.9247 0.2882 0.2299 1
Ce3 Ce 0.5572 0.9247 0.2299 1
Ce4 Ce 0.4428 0.0753 0.7701 1
Ce5 Ce 0.0753 0.7118 0.7701 1
Ce6 Ce 0.7118 0.4428 0.7701 1
Te1 Te 0.3767 0.7984 0.7308 1
Te2 Te 0.7984 0.0941 0.7308 1
Te3 Te 0.0941 0.3767 0.7308 1
Te4 Te 0.9059 0.6233 0.2692 1
Te5 Te 0.2016 0.9059 0.2692 1
Te6 Te 0.6233 0.2016 0.2692 1
I1 I 0.3315 0.3315 0.0055 1
I2 I 0.6685 0.6685 0.9945 1
# total DFT energy (no corrections) = -5.35 eV per atom
# space group = R-3
# uncorrected formation energy = -1.24 eV/atom

2.
# Ce7TeI12, optimized geometry, DFT PBE
data_Ce7TeI12
_cell_length_a 10.0666
_cell_length_b 10.0666
_cell_length_c 10.0666
_cell_angle_alpha 108.02
_cell_angle_beta 108.02
_cell_angle_gamma 108.02
_space_group_name_H-M_alt 'P 1'
_space_group_IT_number 1
_space_group_name_Hall 'P 1'
loop_
_atom_site_label
_atom_site_type_symbol
_atom_site_fract_x
_atom_site_fract_y
_atom_site_fract_z
_atom_site_occupancy
Ce1 Ce 0.9589 0.6683 0.8867 1
Ce2 Ce 0.3317 0.1133 0.0411 1
Ce3 Ce 0.1133 0.0411 0.3317 1
Ce4 Ce 0.5000 0.5000 0.5000 1
Ce5 Ce 0.8867 0.9589 0.6683 1
Ce6 Ce 0.6683 0.8867 0.9589 1
Ce7 Ce 0.0411 0.3317 0.1133 1
Te1 Te 0.0000 0.0000 0.0000 1
I1 I 0.9218 0.3099 0.7678 1
I2 I 0.6901 0.2322 0.0782 1
I3 I 0.4726 0.1532 0.3922 1
I4 I 0.8468 0.6078 0.5274 1
I5 I 0.2322 0.0782 0.6901 1
I6 I 0.6078 0.5274 0.8468 1
I7 I 0.3922 0.4726 0.1532 1
I8 I 0.7678 0.9218 0.3099 1
I9 I 0.1532 0.3922 0.4726 1
I10 I 0.5274 0.8468 0.6078 1
I11 I 0.3099 0.7678 0.9218 1
I12 I 0.0782 0.6901 0.2322 1
# total DFT energy (no corrections) = -4.40 eV per atom
# space group = R-3
# uncorrected formation energy = -1.23 eV/atom

3.
# CeTeI, optimized geometry, DFT PBE
data_CeTeI
_cell_length_a 4.5834
_cell_length_b 6.2877
_cell_length_c 9.5239
_cell_angle_alpha 90.00
_cell_angle_beta 90.00
_cell_angle_gamma 90.00
_space_group_name_H-M_alt 'P 1'
_space_group_IT_number 1
_space_group_name_Hall 'P 1'
loop_
_atom_site_label
_atom_site_type_symbol
_atom_site_fract_x
_atom_site_fract_y
_atom_site_fract_z
_atom_site_occupancy
Ce1 Ce 0.0000 0.5000 0.8638 1
Ce2 Ce 0.5000 0.0000 0.1362 1
Te1 Te 0.5000 0.5000 0.0976 1
Te2 Te 0.0000 0.0000 0.9024 1
I1 I 0.5000 0.5000 0.6350 1
I2 I 0.0000 0.0000 0.3650 1
# polymorph energy (0 for the lowest one) = 0.000 eV/atom
# total DFT energy (no corrections) = -4.88 eV per atom
# space group = Pmmn
# uncorrected formation energy = -1.34 eV/atom

4.
# Ce3TeI3, optimized geometry, DFT PBE
data_Ce3TeI3
_cell_length_a 10.9502
_cell_length_b 10.9485
_cell_length_c 10.9480
_cell_angle_alpha 109.47
_cell_angle_beta 109.48
_cell_angle_gamma 109.48
_space_group_name_H-M_alt 'P 1'
_space_group_IT_number 1
_space_group_name_Hall 'P 1'
loop_
_atom_site_label
_atom_site_type_symbol
_atom_site_fract_x
_atom_site_fract_y
_atom_site_fract_z
_atom_site_occupancy
Ce1 Ce 0.9860 0.4936 0.2428 1
Ce2 Ce 0.5075 0.0140 0.2567 1
Ce3 Ce 0.2491 0.0063 0.4923 1
Ce4 Ce 0.9924 0.7491 0.0063 1
Ce5 Ce 0.9936 0.2428 0.4860 1
Ce6 Ce 0.7568 0.0077 0.0140 1
Ce7 Ce 0.7428 0.4860 0.4937 1
Ce8 Ce 0.7573 0.7509 0.2433 1
Ce9 Ce 0.5140 0.2568 0.0076 1
Ce10 Ce 0.2509 0.2432 0.2572 1
Ce11 Ce 0.7432 0.2572 0.7509 1
Ce12 Ce 0.5064 0.4924 0.7492 1
Te1 Te 0.7492 0.5000 0.0000 1
Te2 Te 0.5000 0.2491 0.5000 1
Te3 Te 0.7508 0.2509 0.2509 1
Te4 Te 0.0000 0.0000 0.2491 1
I1 I 0.2416 0.9913 0.9834 1
I2 I 0.7496 0.7584 0.7419 1
I3 I 0.4835 0.7417 0.9913 1
I4 I 0.0088 0.2504 0.9922 1
I5 I 0.2583 0.7418 0.2495 1
I6 I 0.4923 0.5088 0.2505 1
I7 I 0.2419 0.2496 0.7583 1
I8 I 0.2582 0.5165 0.5078 1
I9 I 0.7503 0.9922 0.5087 1
I10 I 0.0166 0.5078 0.7582 1
I11 I 0.0078 0.7581 0.5165 1
I12 I 0.4912 0.9835 0.7417 1
# total DFT energy (no corrections) = -4.81 eV per atom
# space group = I2_13
# uncorrected formation energy = -1.16 eV/atom

5.
# Ce6TeI8, optimized geometry, DFT PBE
data_Ce6TeI8
_cell_length_a 7.6684
_cell_length_b 7.6684
_cell_length_c 12.3089
_cell_angle_alpha 71.85
_cell_angle_beta 71.85
_cell_angle_gamma 60.00
_space_group_name_H-M_alt 'P 1'
_space_group_IT_number 1
_space_group_name_Hall 'P 1'
loop_
_atom_site_label
_atom_site_type_symbol
_atom_site_fract_x
_atom_site_fract_y
_atom_site_fract_z
_atom_site_occupancy
Ce1 Ce 0.9485 0.6155 0.1546 1
Ce2 Ce 0.7186 0.0515 0.8454 1
Ce3 Ce 0.3845 0.7186 0.8454 1
Ce4 Ce 0.6155 0.2814 0.1546 1
Ce5 Ce 0.2814 0.9485 0.1546 1
Ce6 Ce 0.0515 0.3845 0.8454 1
Te1 Te 0.0000 0.0000 0.0000 1
I1 I 0.7776 0.4419 0.6708 1
I2 I 0.8903 0.2224 0.3292 1
I3 I 0.5581 0.8903 0.3292 1
I4 I 0.3333 0.3333 0.0000 1
I5 I 0.6667 0.6667 0.0000 1
I6 I 0.4419 0.1097 0.6708 1
I7 I 0.1097 0.7776 0.6708 1
I8 I 0.2224 0.5581 0.3292 1
# total DFT energy (no corrections) = -4.55 eV per atom
# space group = R-3
# uncorrected formation energy = -1.14 eV/atom

6.
# CeTeI, optimized geometry, DFT PBE
data_CeTeI
_cell_length_a 3.9240
_cell_length_b 3.9240
_cell_length_c 7.6792
_cell_angle_alpha 104.80
_cell_angle_beta 104.80
_cell_angle_gamma 90.00
_space_group_name_H-M_alt 'P 1'
_space_group_IT_number 1
_space_group_name_Hall 'P 1'
loop_
_atom_site_label
_atom_site_type_symbol
_atom_site_fract_x
_atom_site_fract_y
_atom_site_fract_z
_atom_site_occupancy
I1 I 0.3000 0.3000 0.6000 1
Te1 Te 0.0436 0.0436 0.0871 1
Ce1 Ce 0.6564 0.6564 0.3129 1
# polymorph energy (0 for the lowest one) = 0.145 eV/atom
# total DFT energy (no corrections) = -4.74 eV per atom
# space group = I4mm
# uncorrected formation energy = -1.20 eV/atom

7.
# Ce2TeI2, optimized geometry, DFT PBE
data_Ce2TeI2
_cell_length_a 4.4423
_cell_length_b 4.4423
_cell_length_c 11.7366
_cell_angle_alpha 79.09
_cell_angle_beta 79.09
_cell_angle_gamma 60.00
_space_group_name_H-M_alt 'P 1'
_space_group_IT_number 1
_space_group_name_Hall 'P 1'
loop_
_atom_site_label
_atom_site_type_symbol
_atom_site_fract_x
_atom_site_fract_y
_atom_site_fract_z
_atom_site_occupancy
Ce1 Ce 0.6146 0.6146 0.1561 1
Ce2 Ce 0.3854 0.3854 0.8439 1
Te1 Te 0.0000 0.0000 0.0000 1
I1 I 0.2228 0.2228 0.3315 1
I2 I 0.7772 0.7772 0.6685 1
# total DFT energy (no corrections) = -4.94 eV per atom
# space group = R-3m
# uncorrected formation energy = -1.32 eV/atom

8.
# CeTeI, optimized geometry, DFT PBE
data_CeTeI
_cell_length_a 4.2056
_cell_length_b 5.3093
_cell_length_c 5.3093
_cell_angle_alpha 120.00
_cell_angle_beta 90.00
_cell_angle_gamma 90.00
_space_group_name_H-M_alt 'P 1'
_space_group_IT_number 1
_space_group_name_Hall 'P 1'
loop_
_atom_site_label
_atom_site_type_symbol
_atom_site_fract_x
_atom_site_fract_y
_atom_site_fract_z
_atom_site_occupancy
I1 I 0.1658 0.0000 0.0000 1
Te1 Te 0.6662 0.3333 0.6667 1
Ce1 Ce 0.1681 0.6667 0.3333 1
# polymorph energy (0 for the lowest one) = 0.406 eV/atom
# total DFT energy (no corrections) = -4.48 eV per atom
# space group = P3m1
# uncorrected formation energy = -0.93 eV/atom

9.
# CeTe2I8, optimized geometry, DFT PBE
data_CeTe2I8
_cell_length_a 8.4955
_cell_length_b 9.1481
_cell_length_c 9.1481
_cell_angle_alpha 60.62
_cell_angle_beta 74.89
_cell_angle_gamma 74.89
_space_group_name_H-M_alt 'P 1'
_space_group_IT_number 1
_space_group_name_Hall 'P 1'
loop_
_atom_site_label
_atom_site_type_symbol
_atom_site_fract_x
_atom_site_fract_y
_atom_site_fract_z
_atom_site_occupancy
Ce1 Ce 0.0000 0.0000 0.0000 1
Te1 Te 0.5276 0.8529 0.8529 1
Te2 Te 0.4724 0.1471 0.1471 1
I1 I 0.2195 0.2689 0.8163 1
I2 I 0.7805 0.1837 0.7311 1
I3 I 0.2427 0.7970 0.7970 1
I4 I 0.7573 0.2030 0.2030 1
I5 I 0.2195 0.8163 0.2689 1
I6 I 0.7805 0.7311 0.1837 1
I7 I 0.7603 0.6919 0.6919 1
I8 I 0.2397 0.3081 0.3081 1
# polymorph energy (0 for the lowest one) = 0.048 eV/atom
# total DFT energy (no corrections) = -2.67 eV per atom
# space group = C2/m
# uncorrected formation energy = -0.44 eV/atom

10.
# Ce4Te5I, optimized geometry, DFT PBE
data_Ce4Te5I
_cell_length_a 5.2894
_cell_length_b 7.7720
_cell_length_c 9.5231
_cell_angle_alpha 108.71
_cell_angle_beta 106.12
_cell_angle_gamma 90.00
_space_group_name_H-M_alt 'P 1'
_space_group_IT_number 1
_space_group_name_Hall 'P 1'
loop_
_atom_site_label
_atom_site_type_symbol
_atom_site_fract_x
_atom_site_fract_y
_atom_site_fract_z
_atom_site_occupancy
Ce1 Ce 0.6743 0.4836 0.3486 1
Ce2 Ce 0.9594 0.2098 0.9189 1
Ce3 Ce 0.3257 0.5164 0.6514 1
Ce4 Ce 0.0406 0.7902 0.0811 1
Te1 Te 0.1403 0.2329 0.2807 1
Te2 Te 0.2012 0.7442 0.4023 1
Te3 Te 0.7988 0.2558 0.5977 1
Te4 Te 0.5000 0.5000 0.0000 1
Te5 Te 0.8597 0.7671 0.7193 1
I1 I 0.5000 0.0000 0.0000 1
# total DFT energy (no corrections) = -5.28 eV per atom
# space group = C2/m
# uncorrected formation energy = -1.18 eV/atom

11.
# CeTe2I8, optimized geometry, DFT PBE
data_CeTe2I8
_cell_length_a 10.7022
_cell_length_b 8.2137
_cell_length_c 8.2137
_cell_angle_alpha 91.92
_cell_angle_beta 70.81
_cell_angle_gamma 70.81
_space_group_name_H-M_alt 'P 1'
_space_group_IT_number 1
_space_group_name_Hall 'P 1'
loop_
_atom_site_label
_atom_site_type_symbol
_atom_site_fract_x
_atom_site_fract_y
_atom_site_fract_z
_atom_site_occupancy
Ce1 Ce 0.0000 0.0000 0.0000 1
Te1 Te 0.5705 0.0766 0.0766 1
Te2 Te 0.4295 0.9234 0.9234 1
I1 I 0.8481 0.0939 0.7406 1
I2 I 0.1519 0.2594 0.9061 1
I3 I 0.7437 0.2710 0.2710 1
I4 I 0.2563 0.7290 0.7290 1
I5 I 0.8481 0.7406 0.0939 1
I6 I 0.1519 0.9061 0.2594 1
I7 I 0.3174 0.3086 0.3086 1
I8 I 0.6826 0.6914 0.6914 1
# polymorph energy (0 for the lowest one) = 0.000 eV/atom
# total DFT energy (no corrections) = -2.72 eV per atom
# space group = C2/m
# uncorrected formation energy = -0.48 eV/atom